Material: CsTlCd5
Method: DFT, PBE-GGA
State: relaxed

abc: 6.5080 9.9868 12.6772
angles: 90.00 90.00 90.00
Atoms (fractional coordinates):
1 Cs 0.2500 0.2385 0.9377
2 Cs 0.7500 0.2615 0.4377
3 Cs 0.2500 0.7385 0.5623
4 Cs 0.7500 0.7615 0.0623
5 Tl 0.2500 0.8683 0.8619
6 Tl 0.7500 0.6317 0.3619
7 Tl 0.2500 0.3683 0.6381
8 Tl 0.7500 0.1317 0.1381
9 Cd 0.2500 0.5854 0.0237
10 Cd 0.7500 0.9146 0.5237
11 Cd 0.2500 0.0854 0.4763
12 Cd 0.7500 0.4146 0.9763
13 Cd 0.7500 0.3215 0.7463
14 Cd 0.2500 0.1785 0.2463
15 Cd 0.7500 0.8215 0.7537
16 Cd 0.2500 0.6785 0.2537
17 Cd 0.2500 0.9257 0.1077
18 Cd 0.7500 0.5743 0.6077
19 Cd 0.2500 0.4257 0.3923
20 Cd 0.7500 0.0743 0.8923
21 Cd 0.9879 0.4251 0.1830
22 Cd 0.0121 0.0749 0.6830
23 Cd 0.5121 0.9251 0.3170
24 Cd 0.4879 0.5749 0.8170
25 Cd 0.0121 0.5749 0.8170
26 Cd 0.9879 0.9251 0.3170
27 Cd 0.4879 0.0749 0.6830
28 Cd 0.5121 0.4251 0.1830

Results
Energy relative to the elements = -0.025 eV per atom
Magnetic moment = 0.00 μB per formula unit
Fermi-level density of states = 0.417 states/eV/atom